(1)
Material: KCuSiSe3
Method: DFT, PBE-GGA
State: optimized geometry

Unit cell a=8.6466 b=3.7992 c=9.2798 alpha=90.00 beta=111.28 gamma=90.00
Last column: nearest neighbours and their distance in Å.
Element x y z (fractional)
1 Si 0.6670 0.2500 0.6413  6 Se 2.45-2.58
2 Se 0.5350 0.2500 0.3583  3 Si 2.45-2.58
3 Cu 0.0623 0.2500 0.0861  4 Se 2.45-2.49, 2 Cu 2.46
4 K 0.2183 0.2500 0.7681  7 Se 3.35-3.53, 3 Cu 3.66-3.70
5 Cu 0.9377 0.7500 0.9139  4 Se 2.45-2.49, 2 Cu 2.46
6 Si 0.3330 0.7500 0.3587  6 Se 2.45-2.58
7 Se 0.4650 0.7500 0.6417  3 Si 2.45-2.58
8 Se 0.1405 0.2500 0.3678  1 Cu 2.45, 2 Si 2.55
9 Se 0.2393 0.7500 0.0721  3 Cu 2.47-2.49, 1 Si 2.48
10 Se 0.8595 0.7500 0.6322  1 Cu 2.45, 2 Si 2.55
11 K 0.7817 0.7500 0.2319  7 Se 3.35-3.53, 3 Cu 3.66-3.70
12 Se 0.7607 0.2500 0.9279  3 Cu 2.47-2.49, 1 Si 2.48

Properties
Symmetry   P2_1/m
Energy above the most stable polymorph in this dataset   0.000 eV/atom

---

(2)
Material: KCuSiTeSe2
Method: DFT, PBE-GGA
State: optimized geometry

Unit cell a=8.0236 b=8.0236 c=10.7884 alpha=90.00 beta=90.00 gamma=153.83
Last column: nearest neighbours and their distance in Å.
Element x y z (fractional)
1 K 0.7415 0.2585 0.7500  2 Cu 3.39, 4 Se 3.52, 2 Te 3.57, 2 K 3.63
2 Se 0.8885 0.1115 0.0435  1 Cu 2.38, 2 Si 2.56
3 Cu 0.0585 0.9415 0.7500  2 Se 2.38, 2 Te 2.62
4 Se 0.1115 0.8885 0.5435  1 Cu 2.38, 2 Si 2.56
5 Si 0.5000 0.5000 0.5000  4 Se 2.56, 2 Te 2.87
6 Te 0.4378 0.5622 0.7500  2 Cu 2.62, 2 Si 2.87
7 Si 0.5000 0.5000 0.0000  4 Se 2.56, 2 Te 2.87
8 Se 0.1115 0.8885 0.9565  1 Cu 2.38, 2 Si 2.56
9 Te 0.5622 0.4378 0.2500  2 Cu 2.62, 2 Si 2.87
10 Cu 0.9415 0.0585 0.2500  2 Se 2.38, 2 Te 2.62
11 Se 0.8885 0.1115 0.4565  1 Cu 2.38, 2 Si 2.56
12 K 0.2585 0.7415 0.2500  2 Cu 3.39, 4 Se 3.52, 2 Te 3.57, 2 K 3.63

Properties
Energy   -45.065 eV for the cell shown
Symmetry   Cmcm

---

(3)
Material: KCuSiTe2Se
Method: DFT, PBE-GGA
State: optimized geometry

Unit cell a=7.9694 b=7.9694 c=10.7658 alpha=90.00 beta=90.00 gamma=152.37
Last column: nearest neighbours and their distance in Å.
Element x y z (fractional)
1 K 0.2346 0.7654 0.2500  2 Se 3.50, 6 Te 3.50-3.70, 2 K 3.81, 2 Cu 3.81
2 Te 0.8744 0.1256 0.4649  1 Cu 2.58, 2 Si 2.75
3 Te 0.1256 0.8744 0.5351  1 Cu 2.58, 2 Si 2.75
4 Cu 0.9481 0.0519 0.2500  2 Se 2.42, 2 Te 2.58
5 Te 0.8744 0.1256 0.0351  1 Cu 2.58, 2 Si 2.75
6 Si 0.5000 0.5000 0.0000  4 Te 2.75, 2 Se 2.78
7 Si 0.5000 0.5000 0.5000  4 Te 2.75, 2 Se 2.78
8 Te 0.1256 0.8744 0.9649  1 Cu 2.58, 2 Si 2.75
9 Se 0.5449 0.4551 0.2500  2 Cu 2.42
10 K 0.7654 0.2346 0.7500  2 Se 3.50, 6 Te 3.50-3.70, 2 K 3.81, 2 Cu 3.81
11 Se 0.4551 0.5449 0.7500  2 Cu 2.42
12 Cu 0.0519 0.9481 0.7500  2 Se 2.42, 2 Te 2.58

Properties
Energy   -43.305 eV for the cell shown
Symmetry   Cmcm

---

(4)
Material: KCuTcTeSe2
Method: DFT, PBE-GGA
State: optimized geometry

Unit cell a=8.0795 b=8.0795 c=10.1205 alpha=90.00 beta=90.00 gamma=153.09
Last column: nearest neighbours and their distance in Å.
Element x y z (fractional)
1 Te 0.9222 0.0778 0.2500  2 Cu 2.59, 2 Tc 2.81
2 Se 0.3894 0.6106 0.5449  1 Cu 2.38, 2 Tc 2.60
3 K 0.2277 0.7723 0.2500  4 Se 3.35, 2 Cu 3.55, 2 Te 3.59
4 Tc 0.0000 0.0000 0.5000  4 Se 2.60, 2 Te 2.81
5 Se 0.6106 0.3894 0.4551  1 Cu 2.38, 2 Tc 2.60
6 Se 0.6106 0.3894 0.0449  1 Cu 2.38, 2 Tc 2.60
7 Cu 0.4641 0.5359 0.7500  2 Se 2.38, 2 Te 2.59
8 Te 0.0778 0.9222 0.7500  2 Cu 2.59, 2 Tc 2.81
9 Cu 0.5359 0.4641 0.2500  2 Se 2.38, 2 Te 2.59
10 Tc 0.0000 0.0000 0.0000  4 Se 2.60, 2 Te 2.81
11 K 0.7723 0.2277 0.7500  4 Se 3.35, 2 Cu 3.55, 2 Te 3.59
12 Se 0.3894 0.6106 0.9551  1 Cu 2.38, 2 Tc 2.60

Properties
Symmetry   Cmcm
Energy above the most stable polymorph in this dataset   0.033 eV/atom
Magnetic moment   2.19 μB/f.u.

---

(5)
Material: KCuTcTe2Se
Method: DFT, PBE-GGA
State: optimized geometry

Unit cell a=8.2169 b=8.2169 c=10.1509 alpha=90.00 beta=90.00 gamma=152.60
Last column: nearest neighbours and their distance in Å.
Element x y z (fractional)
1 Te 0.1197 0.8803 0.0402  1 Cu 2.57, 2 Tc 2.76
2 Te 0.8803 0.1197 0.5402  1 Cu 2.57, 2 Tc 2.76
3 Tc 0.5000 0.5000 0.5000  2 Se 2.71, 4 Te 2.76
4 Se 0.4397 0.5603 0.2500  2 Cu 2.42
5 K 0.2438 0.7562 0.7500  2 Se 3.52, 6 Te 3.55-3.62, 2 K 3.89
6 Te 0.8803 0.1197 0.9598  1 Cu 2.57, 2 Tc 2.76
7 Tc 0.5000 0.5000 0.0000  2 Se 2.71, 4 Te 2.76
8 Cu 0.0293 0.9707 0.2500  2 Se 2.42, 2 Te 2.57
9 K 0.7562 0.2438 0.2500  2 Se 3.52, 6 Te 3.55-3.62, 2 K 3.89
10 Cu 0.9707 0.0293 0.7500  2 Se 2.42, 2 Te 2.57
11 Te 0.1197 0.8803 0.4598  1 Cu 2.57, 2 Tc 2.76
12 Se 0.5603 0.4397 0.7500  2 Cu 2.42

Properties
Symmetry   Cmcm
Energy above the most stable polymorph in this dataset   0.060 eV/atom
Magnetic moment   2.42 μB/f.u.

---

(6)
Material: KCuTcTe2Se
Method: DFT, PBE-GGA
State: optimized geometry

Unit cell a=8.6469 b=3.9023 c=10.1654 alpha=90.00 beta=113.60 gamma=90.00
Last column: nearest neighbours and their distance in Å.
Element x y z (fractional)
1 K 0.2770 0.2500 0.2706  2 Se 3.31, 4 Te 3.57-3.62
2 Cu 0.9241 0.7500 0.3976  4 Te 2.56-2.65, 2 Cu 2.77
3 Te 0.7483 0.2500 0.4392  3 Cu 2.61-2.65, 1 Tc 2.73
4 Te 0.1005 0.2500 0.8615  1 Cu 2.56, 2 Tc 2.73
5 Te 0.2517 0.7500 0.5608  3 Cu 2.61-2.65, 1 Tc 2.73
6 Tc 0.6859 0.2500 0.1533  3 Se 2.58-2.62, 3 Te 2.73
7 Se 0.4719 0.7500 0.1224  3 Tc 2.58-2.62
8 Te 0.8995 0.7500 0.1385  1 Cu 2.56, 2 Tc 2.73
9 K 0.7230 0.7500 0.7294  2 Se 3.31, 4 Te 3.57-3.62
10 Tc 0.3141 0.7500 0.8466  3 Se 2.58-2.62, 3 Te 2.73
11 Se 0.5281 0.2500 0.8776  3 Tc 2.58-2.62
12 Cu 0.0759 0.2500 0.6024  4 Te 2.56-2.65, 2 Cu 2.77

Properties
Symmetry   P2_1/m
Energy above the most stable polymorph in this dataset   0.000 eV/atom
Magnetic moment   1.64 μB/f.u.